# 1
Computed, not measured: KTlAg after structural relaxation at the PBE level of DFT.

Values from the calculation:
Calculated density: 5.482 g/cm³
E: -23.9 eV for the cell shown

a b c (Å): 7.5224 7.5224 7.5224
angles (deg): 90.00 90.00 90.00
Element x y z (fractional)
K 0.0000 0.0000 0.0000
K 0.0000 0.5000 0.5000
K 0.5000 0.0000 0.5000
K 0.5000 0.5000 0.0000
Tl 0.0000 0.0000 0.5000
Tl 0.0000 0.5000 0.0000
Tl 0.5000 0.0000 0.0000
Tl 0.5000 0.5000 0.5000
Ag 0.2500 0.2500 0.2500
Ag 0.2500 0.7500 0.7500
Ag 0.7500 0.2500 0.7500
Ag 0.7500 0.7500 0.2500



# 2
Computed, not measured: BaHfAsO after structural relaxation at the PBE level of DFT.

Values from the calculation:
Calculated density: 6.699 g/cm³
E: -56.3 eV for the cell shown
Offset from the most stable computed form: 0.075 eV/atom

a b c (Å): 3.9191 7.0525 7.2954
angles (deg): 90.00 90.00 90.00
Element x y z (fractional)
Ba 0.0000 0.2286 0.0000
Ba 0.0000 0.7714 0.5000
Hf 0.5000 0.2466 0.4684
Hf 0.5000 0.7534 0.9684
As 0.5000 0.4840 0.7343
As 0.5000 0.5160 0.2343
O 0.0000 0.1560 0.4492
O 0.0000 0.8440 0.9492



# 3
Computed, not measured: Cs3P4HAu2O14 after structural relaxation at the PBE level of DFT.

Values from the calculation:
Calculated density: 4.941 g/cm³
E: -145.4 eV for the cell shown

a b c (Å): 5.6705 5.9610 13.0314
angles (deg): 91.68 100.47 116.76
Element x y z (fractional)
Cs 0.0000 0.0000 0.0000
Cs 0.2067 0.8545 0.5717
Cs 0.7933 0.1455 0.4283
P 0.4111 0.4650 0.3359
P 0.4425 0.6965 0.1459
P 0.5575 0.3035 0.8541
P 0.5889 0.5350 0.6641
H 0.5000 0.5000 0.0000
Au 0.0012 0.7189 0.2687
Au 0.9988 0.2811 0.7313
O 0.2519 0.1313 0.8132
O 0.2760 0.3822 0.6259
O 0.2818 0.6262 0.3720
O 0.2888 0.8407 0.1688
O 0.2950 0.2019 0.3654
O 0.3504 0.4462 0.2067
O 0.3680 0.5914 0.0289
O 0.6320 0.4086 0.9711
O 0.6496 0.5538 0.7933
O 0.7050 0.7981 0.6346
O 0.7112 0.1593 0.8312
O 0.7182 0.3738 0.6280
O 0.7240 0.6178 0.3741
O 0.7481 0.8687 0.1868



# 4
Computed, not measured: LaNdNi2Ge4 after structural relaxation at the PBE level of DFT.

Values from the calculation:
Calculated density: 7.432 g/cm³
E: -45.4 eV for the cell shown

a b c (Å): 4.2813 4.2580 8.7360
angles (deg): 90.00 104.15 90.00
Element x y z (fractional)
La 0.0000 0.0000 0.0000
Nd 0.7732 0.5000 0.5648
Ni 0.2119 0.0000 0.4202
Ni 0.5638 0.5000 0.1465
Ge 0.1337 0.5000 0.2849
Ge 0.3307 0.0000 0.6954
Ge 0.4396 0.5000 0.8661
Ge 0.6427 0.0000 0.2836



# 5
Computed, not measured: Er2Ga after structural relaxation at the PBE level of DFT.

Values from the calculation:
Calculated density: 8.274 g/cm³
E: -22.4 eV for the cell shown

a b c (Å): 6.1221 6.1221 6.1221
angles (deg): 60.00 60.00 60.00
Element x y z (fractional)
Er 0.0000 0.0000 0.0000
Er 0.0000 0.0000 0.5000
Er 0.0000 0.5000 0.0000
Er 0.5000 0.0000 0.0000
Ga 0.3750 0.3750 0.3750
Ga 0.6250 0.6250 0.6250



# 6
Computed, not measured: LaAgAs2 after structural relaxation at the PBE level of DFT.

Values from the calculation:
Calculated density: 6.783 g/cm³
E: -158.4 eV for the cell shown

a b c (Å): 6.1027 21.2499 5.9902
angles (deg): 90.00 90.00 90.00
Element x y z (fractional)
La 0.0187 0.1275 0.2500
La 0.0187 0.3725 0.7500
La 0.4577 0.6350 0.7500
La 0.4577 0.8650 0.2500
La 0.5423 0.1350 0.7500
La 0.5423 0.3650 0.2500
La 0.9813 0.6275 0.2500
La 0.9813 0.8725 0.7500
Ag 0.0837 0.0629 0.7500
Ag 0.0837 0.4371 0.2500
Ag 0.2866 0.2500 0.0000
Ag 0.2866 0.2500 0.5000
Ag 0.7134 0.7500 0.0000
Ag 0.7134 0.7500 0.5000
Ag 0.9163 0.5629 0.7500
Ag 0.9163 0.9371 0.2500
As 0.0044 0.1817 0.7500
As 0.0044 0.3183 0.2500
As 0.2932 0.5073 0.5390
As 0.2932 0.5073 0.9610
As 0.2932 0.9927 0.0390
As 0.2932 0.9927 0.4610
As 0.4881 0.6653 0.2500
As 0.4881 0.8347 0.7500
As 0.5119 0.1653 0.2500
As 0.5119 0.3347 0.7500
As 0.7068 0.0073 0.5390
As 0.7068 0.0073 0.9610
As 0.7068 0.4927 0.0390
As 0.7068 0.4927 0.4610
As 0.9956 0.6817 0.7500
As 0.9956 0.8183 0.2500



# 7
Computed, not measured: PPdPbO after structural relaxation at the PBE level of DFT.

Values from the calculation:
Calculated density: 7.607 g/cm³
E: -43.3 eV for the cell shown
Offset from the most stable computed form: 0.000 eV/atom

a b c (Å): 4.0664 4.0664 9.5209
angles (deg): 90.00 90.00 90.00
Element x y z (fractional)
P 0.2500 0.2500 0.1300
P 0.7500 0.7500 0.8700
Pd 0.2500 0.7500 0.0000
Pd 0.7500 0.2500 0.0000
Pb 0.2500 0.2500 0.6241
Pb 0.7500 0.7500 0.3759
O 0.2500 0.7500 0.5000
O 0.7500 0.2500 0.5000



# 8
Computed, not measured: NdBiTeO2 after structural relaxation at the PBE level of DFT.

Values from the calculation:
Calculated density: 8.233 g/cm³
E: -62.6 eV for the cell shown

a b c (Å): 4.0286 4.0286 12.7466
angles (deg): 90.00 90.00 90.00
Element x y z (fractional)
Nd 0.0000 0.0000 0.0000
Nd 0.5000 0.5000 0.5000
Bi 0.0000 0.0000 0.6899
Bi 0.5000 0.5000 0.1899
Te 0.0000 0.0000 0.3472
Te 0.5000 0.5000 0.8472
O 0.0000 0.5000 0.0963
O 0.0000 0.5000 0.5963
O 0.5000 0.0000 0.0963
O 0.5000 0.0000 0.5963